Computed, not measured: a geometry-optimized BaSrPCl structure at the GGA-PBE level of DFT.

## Properties
**ΔE_f (raw)**: -1.49 eV/atom
**ρ**: 4.25 g cm⁻³
**Crystal system**: cubic
**Polymorph energy (0 for the lowest one)**: 172.8 meV/atom

Cell: 5.4383 5.4383 5.4383 Å, 60.00 60.00 60.00°
With the nearest neighbours (Å) after each atom.
Positions (direct):
Sr 0.7500 0.7500 0.7500  4 P 3.33, 4 Cl 3.33
Ba 0.2500 0.2500 0.2500  4 Cl 3.33, 4 P 3.33
P 0.0000 0.0000 0.0000  4 Sr 3.33, 4 Ba 3.33
Cl 0.5000 0.5000 0.5000  4 Sr 3.33, 4 Ba 3.33

***

Computed, not measured: a geometry-optimized BaSrPCl structure at the GGA-PBE level of DFT.

## Properties
**ΔE_f (raw)**: -1.66 eV/atom
**ρ**: 3.62 g cm⁻³
**Crystal system**: trigonal
**Polymorph energy (0 for the lowest one)**: 0.0 meV/atom

Cell: 4.5454 4.5454 7.9217 Å, 73.33 73.33 60.00°
With the nearest neighbours (Å) after each atom.
Positions (direct):
Ba 0.5105 0.5105 0.4685  3 P 3.15, 3 Cl 3.44
Sr 0.9898 0.9898 0.0305  3 P 3.04, 3 Cl 3.29
P 0.2547 0.2547 0.2360  3 Sr 3.04, 3 Ba 3.15
Cl 0.7450 0.7450 0.7650  3 Sr 3.29, 3 Ba 3.44

***

Computed, not measured: a geometry-optimized BaTaP2Cl structure at the GGA-PBE level of DFT.

## Properties
**ΔE_f (raw)**: 1.67 eV/atom
**ρ**: 4.16 g cm⁻³
**Crystal system**: tetragonal
**Polymorph energy (0 for the lowest one)**: 2525.4 meV/atom

Cell: 5.5486 5.5486 5.3952 Å, 90.00 90.00 90.00°
With the nearest neighbours (Å) after each atom.
Positions (direct):
P 0.0000 0.5000 0.0000  2 Ba 2.77
P 0.5000 0.0000 0.0000  2 Ba 2.77
Cl 0.0000 0.0000 0.5000  2 Ba 2.70
Ba 0.0000 0.0000 0.0000  2 Cl 2.70, 4 P 2.77
Ta 0.5000 0.5000 0.5000  8 P 3.87, 4 Cl 3.92

***

Computed, not measured: a geometry-optimized BaTaP2Cl structure at the GGA-PBE level of DFT.

## Properties
**ΔE_f (raw)**: -0.86 eV/atom
**ρ**: 5.69 g cm⁻³
**Crystal system**: tetragonal
**Polymorph energy (0 for the lowest one)**: 0.0 meV/atom

Cell: 4.8957 4.8957 5.0648 Å, 90.00 90.00 90.00°
With the nearest neighbours (Å) after each atom.
Positions (direct):
P 0.0000 0.5000 0.0000  2 Ta 2.45
P 0.5000 0.0000 0.0000  2 Ta 2.45
Cl 0.0000 0.0000 0.5000  2 Ta 2.53
Ba 0.5000 0.5000 0.5000  4 Cl 3.46, 8 P 3.52
Ta 0.0000 0.0000 0.0000  4 P 2.45, 2 Cl 2.53

***

Computed, not measured: a geometry-optimized BaTcPCl2 structure at the GGA-PBE level of DFT.

## Properties
**ΔE_f (raw)**: -0.81 eV/atom
**ρ**: 4.71 g cm⁻³
**Crystal system**: tetragonal
**Polymorph energy (0 for the lowest one)**: 0.0 meV/atom

Cell: 5.0729 5.0729 4.6173 Å, 90.00 90.00 90.00°
With the nearest neighbours (Å) after each atom.
Positions (direct):
P 0.0000 0.0000 0.5000  2 Tc 2.31
Cl 0.0000 0.5000 0.0000  2 Tc 2.54
Cl 0.5000 0.0000 0.0000  2 Tc 2.54
Ba 0.5000 0.5000 0.5000  8 Cl 3.43, 4 P 3.59
Tc 0.0000 0.0000 0.0000  2 P 2.31, 4 Cl 2.54

***

Computed, not measured: a geometry-optimized BaTcPCl2 structure at the GGA-PBE level of DFT.

## Properties
**ΔE_f (raw)**: 0.44 eV/atom
**ρ**: 2.52 g cm⁻³
**Crystal system**: tetragonal
**Polymorph energy (0 for the lowest one)**: 1249.3 meV/atom

Cell: 5.8307 5.8307 6.5372 Å, 90.00 90.00 90.00°
With the nearest neighbours (Å) after each atom.
Positions (direct):
P 0.0000 0.0000 0.5000  2 Ba 3.27
Cl 0.0000 0.5000 0.0000  2 Ba 2.92
Cl 0.5000 0.0000 0.0000  2 Ba 2.92
Ba 0.0000 0.0000 0.0000  4 Cl 2.92
Tc 0.5000 0.5000 0.5000  4 P 4.12, 8 Cl 4.38

***

Computed, not measured: a geometry-optimized Ba6Te3PCl2 structure at the GGA-PBE level of DFT.

## Properties
**ΔE_f (raw)**: -1.75 eV/atom
**ρ**: 4.57 g cm⁻³
**Crystal system**: monoclinic

Cell: 8.3779 8.3779 8.3024 Å, 99.62 99.62 119.98°
With the nearest neighbours (Å) after each atom.
Positions (direct):
Ba 0.9207 0.6048 0.7635  1 P 3.23, 2 Cl 3.41-3.43, 3 Te 3.42-3.54
Ba 0.7647 0.7647 0.2398  1 P 3.24, 2 Cl 3.42, 3 Te 3.46-3.58
Ba 0.0793 0.3952 0.2365  1 P 3.23, 2 Cl 3.41-3.43, 3 Te 3.42-3.54
Ba 0.6048 0.9207 0.7635  1 P 3.23, 2 Cl 3.41-3.43, 3 Te 3.42-3.54
Ba 0.2353 0.2353 0.7602  1 P 3.24, 2 Cl 3.42, 3 Te 3.46-3.58
Ba 0.3952 0.0793 0.2365  1 P 3.23, 2 Cl 3.41-3.43, 3 Te 3.42-3.54
Te 0.1720 0.8280 0.5000  6 Ba 3.42-3.54
Te 0.8280 0.1720 0.5000  6 Ba 3.42-3.54
Te 0.5000 0.5000 0.5000  6 Ba 3.42-3.58
P 0.0000 0.0000 0.0000  6 Ba 3.23-3.24
Cl 0.3344 0.6656 0.0000  6 Ba 3.41-3.43
Cl 0.6656 0.3344 0.0000  6 Ba 3.41-3.43

***

Computed, not measured: a geometry-optimized Ba4Te2PCl structure at the GGA-PBE level of DFT.

## Properties
**ΔE_f (raw)**: -1.68 eV/atom
**ρ**: 4.51 g cm⁻³
**Crystal system**: monoclinic

Cell: 4.8461 8.3524 8.3773 Å, 108.82 90.00 90.00°
With the nearest neighbours (Å) after each atom.
Positions (direct):
Ba 0.5000 0.2645 0.2376  1 P 3.22, 3 Te 3.43-3.58, 2 Cl 3.45
Ba 0.5000 0.7355 0.7624  1 P 3.22, 3 Te 3.43-3.58, 2 Cl 3.45
Ba 0.0000 0.2673 0.7711  2 P 3.30, 1 Cl 3.38, 3 Te 3.43-3.57
Ba 0.0000 0.7327 0.2289  2 P 3.30, 1 Cl 3.38, 3 Te 3.43-3.57
Te 0.5000 0.0000 0.5000  6 Ba 3.57-3.58
Te 0.0000 0.5000 0.5000  6 Ba 3.43
P 0.5000 0.5000 0.0000  6 Ba 3.22-3.30
Cl 0.0000 0.0000 0.0000  6 Ba 3.38-3.45

***

Computed, not measured: a geometry-optimized BaTiPCl2 structure at the GGA-PBE level of DFT.

## Properties
**ΔE_f (raw)**: -0.02 eV/atom
**ρ**: 2.28 g cm⁻³
**Crystal system**: tetragonal
**Polymorph energy (0 for the lowest one)**: 1369.7 meV/atom

Cell: 5.7365 5.7365 6.3531 Å, 90.00 90.00 90.00°
With the nearest neighbours (Å) after each atom.
Positions (direct):
P 0.0000 0.0000 0.5000  2 Ba 3.18
Cl 0.0000 0.5000 0.0000  2 Ba 2.87
Cl 0.5000 0.0000 0.0000  2 Ba 2.87
Ba 0.0000 0.0000 0.0000  4 Cl 2.87, 2 P 3.18
Ti 0.5000 0.5000 0.5000  4 P 4.06, 8 Cl 4.28

***

Computed, not measured: a geometry-optimized BaTiPCl2 structure at the GGA-PBE level of DFT.

## Properties
**ΔE_f (raw)**: -1.39 eV/atom
**ρ**: 3.89 g cm⁻³
**Crystal system**: tetragonal
**Polymorph energy (0 for the lowest one)**: 0.0 meV/atom

Cell: 4.9842 4.9842 4.9309 Å, 90.00 90.00 90.00°
With the nearest neighbours (Å) after each atom.
Positions (direct):
P 0.0000 0.0000 0.5000  2 Ti 2.47
Cl 0.0000 0.5000 0.0000  2 Ti 2.49
Cl 0.5000 0.0000 0.0000  2 Ti 2.49
Ba 0.5000 0.5000 0.5000  8 Cl 3.51, 4 P 3.52
Ti 0.0000 0.0000 0.0000  2 P 2.47, 4 Cl 2.49

***

Computed, not measured: a geometry-optimized BaTlP2Cl structure at the GGA-PBE level of DFT.

## Properties
**ΔE_f (raw)**: 0.21 eV/atom
**ρ**: 3.13 g cm⁻³
**Crystal system**: tetragonal
**Polymorph energy (0 for the lowest one)**: 453.0 meV/atom

Cell: 6.2816 6.2816 5.8951 Å, 90.00 90.00 90.00°
With the nearest neighbours (Å) after each atom.
Positions (direct):
P 0.0000 0.5000 0.0000  2 Ba 3.14
P 0.5000 0.0000 0.0000  2 Ba 3.14
Tl 0.5000 0.5000 0.5000  8 P 4.31, 4 Cl 4.44
Ba 0.0000 0.0000 0.0000  2 Cl 2.95, 4 P 3.14
Cl 0.0000 0.0000 0.5000  2 Ba 2.95

***

Computed, not measured: a geometry-optimized BaTlPCl2 structure at the GGA-PBE level of DFT.

## Properties
**ΔE_f (raw)**: -0.80 eV/atom
**ρ**: 4.64 g cm⁻³
**Crystal system**: tetragonal
**Polymorph energy (0 for the lowest one)**: 0.0 meV/atom

Cell: 5.5227 5.5227 5.2011 Å, 90.00 90.00 90.00°
With the nearest neighbours (Å) after each atom.
Positions (direct):
P 0.0000 0.0000 0.5000  2 Tl 2.60
Tl 0.0000 0.0000 0.0000  2 P 2.60, 4 Cl 2.76
Ba 0.5000 0.5000 0.5000  8 Cl 3.79, 4 P 3.91
Cl 0.0000 0.5000 0.0000  2 Tl 2.76
Cl 0.5000 0.0000 0.0000  2 Tl 2.76

***

Computed, not measured: a geometry-optimized BaTlPCl2 structure at the GGA-PBE level of DFT.

## Properties
**ΔE_f (raw)**: -0.74 eV/atom
**ρ**: 3.26 g cm⁻³
**Crystal system**: tetragonal
**Polymorph energy (0 for the lowest one)**: 59.2 meV/atom

Cell: 5.9449 5.9449 6.3945 Å, 90.00 90.00 90.00°
With the nearest neighbours (Å) after each atom.
Positions (direct):
P 0.0000 0.0000 0.5000  2 Ba 3.20
Tl 0.5000 0.5000 0.5000  4 P 4.20, 8 Cl 4.37
Ba 0.0000 0.0000 0.0000  4 Cl 2.97, 2 P 3.20
Cl 0.0000 0.5000 0.0000  2 Ba 2.97
Cl 0.5000 0.0000 0.0000  2 Ba 2.97

***

Computed, not measured: a geometry-optimized Ba6TlP2Cl3 structure at the GGA-PBE level of DFT.

## Properties
**ΔE_f (raw)**: -1.42 eV/atom
**ρ**: 4.18 g cm⁻³
**Crystal system**: monoclinic

Cell: 4.6204 9.5246 11.2816 Å, 101.64 101.82 90.00°
With the nearest neighbours (Å) after each atom.
Positions (direct):
Ba 0.3342 0.8962 0.6684  2 P 3.24, 3 Cl 3.26-3.46, 1 Tl 3.59
Ba 0.6818 0.5814 0.3635  3 P 3.19-3.21, 2 Cl 3.40
Ba 0.6658 0.1038 0.3316  2 P 3.24, 3 Cl 3.26-3.46, 1 Tl 3.59
Ba 0.0251 0.2751 0.0501  1 P 3.14, 2 Cl 3.27, 2 Tl 3.45
Ba 0.9749 0.7249 0.9499  1 P 3.14, 2 Cl 3.27, 2 Tl 3.45
Ba 0.3182 0.4186 0.6365  3 P 3.19-3.21, 2 Cl 3.40
Tl 0.5000 0.0000 0.0000  6 Ba 3.45-3.59
P 0.8294 0.6562 0.6588  6 Ba 3.14-3.24
P 0.1706 0.3438 0.3412  6 Ba 3.14-3.24
Cl 0.5000 0.5000 0.0000  4 Ba 3.27
Cl 0.8163 0.1557 0.6327  5 Ba 3.26-3.46
Cl 0.1837 0.8443 0.3673  5 Ba 3.26-3.46